Version w
VASP calculation (GGA-PBE) on an optimized crystal structure of Mn2AlCoH.

The space group is P4/mmm (No. 123) and the conventional cell measures 3.5886, 3.5886 and 3.9183 Å, with angles of 90.00, 90.00 and 90.00 degrees. Symmetry generates all atoms from Mn at (0.0000, 0.5000, 0.0000), Al at (0.0000, 0.0000, 0.5000), Co at (0.5000, 0.5000, 0.5000) and H at (0.0000, 0.0000, 0.0000).

***

Version x
VASP calculation (GGA-PBE) on an optimized crystal structure of Mn2AlCoH.

The space group is P4/mmm (No. 123) and the conventional cell measures 3.7287, 3.7287 and 3.6453 Å, with angles of 90.00, 90.00 and 90.00 degrees. Symmetry generates all atoms from Mn at (0.0000, 0.5000, 0.0000), Al at (0.0000, 0.0000, 0.5000), Co at (0.5000, 0.5000, 0.5000) and H at (0.5000, 0.5000, 0.0000).

***

Relative energies with respect to the most stable structure, expressed in eV/atom: version w 0.137; version x 0.000.

***

Version w
VASP calculation (GGA-PBE) on an optimized crystal structure of AlCo2HPd.

The space group is P4/mmm (No. 123) and the conventional cell measures 3.5962, 3.5962 and 4.0335 Å, with angles of 90.00, 90.00 and 90.00 degrees. Symmetry generates all atoms from Al at (0.0000, 0.0000, 0.0000), Co at (0.0000, 0.5000, 0.5000), H at (0.0000, 0.0000, 0.5000) and Pd at (0.5000, 0.5000, 0.0000).

***

Version x
VASP calculation (GGA-PBE) on an optimized crystal structure of AlCo2HPd.

The space group is P4/mmm (No. 123) and the conventional cell measures 3.6492, 3.6492 and 3.9353 Å, with angles of 90.00, 90.00 and 90.00 degrees. Symmetry generates all atoms from Al at (0.0000, 0.0000, 0.0000), Co at (0.0000, 0.5000, 0.5000), H at (0.5000, 0.5000, 0.5000) and Pd at (0.5000, 0.5000, 0.0000).

***

Relative energies with respect to the most stable structure, expressed in eV/atom: version w 0.059; version x 0.000.

***

Version w
VASP calculation (GGA-PBE) on an optimized crystal structure of AlCo2HRu.

The space group is P4/mmm (No. 123) and the conventional cell measures 3.5515, 3.5515 and 3.9858 Å, with angles of 90.00, 90.00 and 90.00 degrees. Symmetry generates all atoms from Al at (0.0000, 0.0000, 0.0000), Co at (0.0000, 0.5000, 0.5000), H at (0.0000, 0.0000, 0.5000) and Ru at (0.5000, 0.5000, 0.0000).

***

Version x
VASP calculation (GGA-PBE) on an optimized crystal structure of AlCo2HRu.

The space group is P4/mmm (No. 123) and the conventional cell measures 3.6244, 3.6244 and 3.8497 Å, with angles of 90.00, 90.00 and 90.00 degrees. Symmetry generates all atoms from Al at (0.0000, 0.0000, 0.0000), Co at (0.0000, 0.5000, 0.5000), H at (0.5000, 0.5000, 0.5000) and Ru at (0.5000, 0.5000, 0.0000).

***

Relative energies with respect to the most stable structure, expressed in eV/atom: version w 0.093; version x 0.000.